DFT (PBE) results for an optimized crystal structure of TbIrCl6.

The structure belongs to space group R-3 (No. 148, hexagonal axes); the cell edges are 6.3325, 6.3325 and 17.2266 Å and the angles 90.00°, 90.00° and 120.00°. Symmetry generates all atoms from Tb at (0.0000, 0.0000, 0.0000), Ir at (0.0000, 0.0000, 0.5000) and Cl at (0.0050, 0.3093, 0.4211).

The value obtained for the total energy is -4.337 eV per atom. Its uncorrected formation energy is -10.1 eV/f.u.

DFT (PBE) results for an optimized crystal structure of Tb2IrCl2.

The structure belongs to space group C2/m (No. 12); the cell edges are 22.178, 4.045 and 6.355 Å and the angles 90.00°, 105.61° and 90.00°. Symmetry generates all atoms from Tb at (0.153, 0.000, 0.289), Tb at (0.189, 0.500, 0.825), Ir at (0.241, 0.500, 0.317), Cl at (0.083, 0.500, 0.410) and Cl at (0.097, 0.000, 0.861).

The value obtained for the total energy is -5.922 eV per atom. Its uncorrected formation energy is -7.8 eV/f.u.

> uncorrected formation energy of number 1 (TbIrCl6)?

-10.1 eV/f.u.

> Which value of uncorrected formation energy does entry 1 give?

-10.1 eV/f.u.

> Which of these has the lowest uncorrected formation energy?

TbIrCl6